No. 1
{
  "formula": "CaAl2Hg",
  "functional": "GGA-PBE",
  "state": "relaxed",
  "sg": "P2/m (10)",
  "n_ef_per_ev_cell": 1.95,
  "energy_ev_per_cell": -10.362,
  "formation_energy_kj_per_mol_fu": -55,
  "magnetic_moment_mub_per_fu": 0.0,
  "cell": [[-0.1731, 4.5282, 1.0414], [-3.2367, 0.1865, -1.3492], [-2.1988, -1.2455, 5.0498]],
  "species": ["Ca", "Hg", "Al", "Al"],
  "fractional_positions": [[0.5000, 0.2500, 0.2500], [0.5000, 0.7500, 0.7500], [0.0000, 0.7514, 0.0051], [0.0000, 0.7486, 0.4949]]
}

***

No. 2
{
  "formula": "Sb5Pb",
  "functional": "GGA-PBE",
  "state": "relaxed",
  "sg": "P6/mmm (191)",
  "n_ef_per_ev_cell": 4.83,
  "relative_energy_ev_per_atom": 0.1831,
  "energy_ev_per_cell": -22.449,
  "e_form_raw_mev_per_atom": 312,
  "magnetic_moment_mub_per_fu": 0.0,
  "cell": [[3.1034, -5.3752, 0.0000], [3.1034, 5.3752, 0.0000], [0.0000, 0.0000, 5.5606]],
  "species": ["Sb", "Sb", "Sb", "Sb", "Sb", "Pb"],
  "fractional_positions": [[0.3333, 0.6667, 0.0000], [0.6667, 0.3333, 0.0000], [0.5000, 0.0000, 0.5000], [0.0000, 0.5000, 0.5000], [0.5000, 0.5000, 0.5000], [0.0000, 0.0000, 0.0000]]
}

***

No. 3
{
  "formula": "TlHg3N",
  "functional": "GGA-PBE",
  "state": "relaxed",
  "sg": "P1 (1)",
  "n_ef_per_ev_cell": 0.35,
  "relative_energy_ev_per_atom": 0.0000,
  "energy_ev_per_cell": -18.277,
  "e_form_raw_mev_per_atom": 492,
  "magnetic_moment_mub_per_fu": 0.0,
  "cell": [[-6.1778, 2.3690, -1.5642], [-8.2193, -5.4287, 0.7241], [1.1776, 2.8709, 5.2394]],
  "species": ["Tl", "Tl", "Hg", "Hg", "Hg", "Hg", "Hg", "Hg", "N", "N"],
  "fractional_positions": [[0.2510, 0.2636, 0.6555], [0.1698, 0.8951, 0.4098], [0.8246, 0.2054, 0.8733], [0.3407, 0.9628, 0.0710], [0.6564, 0.5873, 0.7507], [0.6705, 0.1005, 0.2467], [0.8912, 0.5671, 0.2907], [0.3662, 0.5474, 0.2175], [0.5032, 0.2904, 0.0048], [0.1670, 0.0795, 0.7524]]
}

***

No. 4
{
  "formula": "BeInSe",
  "functional": "GGA-PBE",
  "state": "relaxed",
  "sg": "F-43m (216)",
  "n_ef_per_ev_cell": 1.23,
  "relative_energy_ev_per_atom": 0.5590,
  "energy_ev_per_cell": -9.024,
  "e_form_raw_mev_per_atom": 309,
  "magnetic_moment_mub_per_fu": 0.0,
  "cell": [[-1.1666, -3.8423, 2.0185], [1.4964, -3.9238, -1.6009], [3.0618, -2.3469, 2.3056]],
  "species": ["Be", "Se", "In"],
  "fractional_positions": [[0.7500, 0.7500, 0.7500], [0.5000, 0.5000, 0.5000], [0.0000, 0.0000, 0.0000]]
}

***

Repeat the third record exactly.
{
  "formula": "TlHg3N",
  "functional": "GGA-PBE",
  "state": "relaxed",
  "sg": "P1 (1)",
  "n_ef_per_ev_cell": 0.35,
  "relative_energy_ev_per_atom": 0.0000,
  "energy_ev_per_cell": -18.277,
  "e_form_raw_mev_per_atom": 492,
  "magnetic_moment_mub_per_fu": 0.0,
  "cell": [[-6.1778, 2.3690, -1.5642], [-8.2193, -5.4287, 0.7241], [1.1776, 2.8709, 5.2394]],
  "species": ["Tl", "Tl", "Hg", "Hg", "Hg", "Hg", "Hg", "Hg", "N", "N"],
  "fractional_positions": [[0.2510, 0.2636, 0.6555], [0.1698, 0.8951, 0.4098], [0.8246, 0.2054, 0.8733], [0.3407, 0.9628, 0.0710], [0.6564, 0.5873, 0.7507], [0.6705, 0.1005, 0.2467], [0.8912, 0.5671, 0.2907], [0.3662, 0.5474, 0.2175], [0.5032, 0.2904, 0.0048], [0.1670, 0.0795, 0.7524]]
}